1.
Computed, not measured: crystalline CaMnHg2 at its relaxed geometry at the PBE level of DFT.

Computed properties:
**Theoretical density**: 9.18 g/cm3
**Energy relative to the elements**: 0.063 eV/atom

Cell lengths 5.026, 5.026, 5.026 Å; angles 60.00, 60.00, 60.00 degrees
Fractional positions:
1 Ca 0.000 0.000 0.000
2 Mn 0.250 0.250 0.250
3 Hg 0.500 0.500 0.500
4 Hg 0.750 0.750 0.750

2.
Computed, not measured: crystalline CaMn2Hg at its relaxed geometry at the PBE level of DFT.

Computed properties:
**Theoretical density**: 6.87 g/cm3
**Energy relative to the elements**: 0.361 eV/atom

Cell lengths 4.931, 4.931, 4.931 Å; angles 60.00, 60.00, 60.00 degrees
Fractional positions:
1 Ca 0.000 0.000 0.000
2 Mn 0.500 0.500 0.500
3 Mn 0.750 0.750 0.750
4 Hg 0.250 0.250 0.250

3.
Computed, not measured: crystalline CaMnHg2 at its relaxed geometry at the PBE level of DFT.

Computed properties:
**Theoretical density**: 9.17 g/cm3
**Energy relative to the elements**: -0.103 eV/atom

Cell lengths 3.528, 3.545, 7.185 Å; angles 90.00, 90.06, 90.00 degrees
Fractional positions:
1 Ca 0.000 0.000 0.000
2 Mn 0.000 0.000 0.500
3 Hg 0.500 0.500 0.284
4 Hg 0.500 0.500 0.716

4.
Computed, not measured: crystalline CaMn2Hg2 at its relaxed geometry at the PBE level of DFT.

Computed properties:
**Theoretical density**: 8.52 g/cm3
**Offset from the most stable computed form**: 0.00 eV/f.u.
**Energy relative to the elements**: 0.204 eV/atom

Cell lengths 8.014, 8.014, 3.346 Å; angles 90.00, 90.00, 90.00 degrees
Fractional positions:
1 Ca 0.000 0.000 0.000
2 Ca 0.500 0.500 0.000
3 Mn 0.165 0.335 0.500
4 Mn 0.335 0.835 0.500
5 Mn 0.665 0.165 0.500
6 Mn 0.835 0.665 0.500
7 Hg 0.134 0.634 0.000
8 Hg 0.366 0.134 0.000
9 Hg 0.634 0.866 0.000
10 Hg 0.866 0.366 0.000

5.
Computed, not measured: crystalline Ca2MnHg at its relaxed geometry at the PBE level of DFT.

Computed properties:
**Theoretical density**: 4.85 g/cm3
**Energy relative to the elements**: 0.200 eV/atom

Cell lengths 9.614, 9.614, 9.614 Å; angles 22.59, 22.59, 22.59 degrees
Fractional positions:
1 Ca 0.249 0.249 0.249
2 Ca 0.751 0.751 0.751
3 Mn 0.500 0.500 0.500
4 Hg 0.000 0.000 0.000

6.
Computed, not measured: crystalline Ca2MnHg at its relaxed geometry at the PBE level of DFT.

Computed properties:
**Theoretical density**: 5.68 g/cm3
**Energy relative to the elements**: 0.115 eV/atom

Cell lengths 5.179, 5.179, 5.179 Å; angles 60.00, 60.00, 60.00 degrees
Fractional positions:
1 Ca 0.000 0.000 0.000
2 Ca 0.250 0.250 0.250
3 Mn 0.750 0.750 0.750
4 Hg 0.500 0.500 0.500

7.
Computed, not measured: crystalline CaMn2Hg at its relaxed geometry at the PBE level of DFT.

Computed properties:
**Theoretical density**: 6.67 g/cm3
**Energy relative to the elements**: 0.592 eV/atom

Cell lengths 9.750, 9.750, 9.750 Å; angles 19.16, 19.16, 19.16 degrees
Fractional positions:
1 Ca 0.000 0.000 0.000
2 Mn 0.243 0.243 0.243
3 Mn 0.757 0.757 0.757
4 Hg 0.500 0.500 0.500

8.
Computed, not measured: crystalline CaMn2Hg at its relaxed geometry at the PBE level of DFT.

Computed properties:
**Theoretical density**: 6.72 g/cm3
**Energy relative to the elements**: 0.427 eV/atom

Cell lengths 3.601, 3.601, 6.680 Å; angles 90.00, 90.00, 90.00 degrees
Fractional positions:
1 Ca 0.000 0.000 0.000
2 Mn 0.500 0.500 0.296
3 Mn 0.500 0.500 0.704
4 Hg 0.000 0.000 0.500